The following is a PBE calculation of NaZn3Ag10 after structural relaxation, from the Alexandria database.

Geometry as extended XYZ:
```
28
Lattice="7.9334 0.0000 4.5803 2.6445 7.4796 4.5803 0.0000 0.0000 9.1606" Properties=species:S:1:pos:R:3 pbc="T T T"
Na 2.6445 1.8699 4.5803
Na 7.9334 5.6097 13.7410
Zn 7.6881 5.4362 9.1607
Zn 6.4885 2.0434 11.2383
Zn 4.0894 5.4362 11.2383
Zn 2.8898 2.0434 9.1606
Zn 6.4885 2.0434 7.0830
Zn 4.0894 5.4362 7.0830
Ag 0.0000 0.0000 3.1629
Ag 0.9130 2.5825 1.5814
Ag 5.3836 7.4796 15.3224
Ag 6.1073 2.5825 4.5803
Ag 4.0046 2.8316 6.9361
Ag 2.7202 4.6480 9.1607
Ag 5.2890 6.4643 9.1606
Ag 5.1942 0.0000 6.1618
Ag 4.0046 2.8316 11.3852
Ag 7.8577 2.8316 9.1606
Ag 6.5733 4.6480 6.9361
Ag 0.0000 0.0000 5.9978
Ag 4.4706 4.8971 13.7410
Ag 1.7314 4.8972 6.1618
Ag 0.9130 2.5825 7.5792
Ag 5.1942 0.0000 2.9989
Ag 6.5733 4.6480 11.3852
Ag 1.7314 4.8972 2.9989
Ag 5.2889 1.0153 9.1606
Ag 5.3836 7.4796 12.1595
```

Output
Crystal system   cubic
ΔE_f   0.089 eV per atom
Final energy   -2.315 eV/atom